[1]
## MgSi3Pt2 (PBE-GGA)

Data for MgSi3Pt2 after structural relaxation.

Cell and atoms, written as POSCAR:
```
MgSi3Pt2
1.0
-2.5027 0.4214 2.7709
-4.3772 -3.6429 -5.9472
5.2227 -7.1350 5.8023
Mg Si Pt
3 9 6
Direct
0.1599 0.3198 0.7008
0.0000 0.0000 0.0000
0.8401 0.6802 0.2992
0.0157 0.0314 0.3481
0.3176 0.6352 0.0317
0.6225 0.2451 0.1911
0.5000 0.0000 0.5000
0.6824 0.3648 0.9683
0.9843 0.9686 0.6519
0.7811 0.5621 0.6152
0.2189 0.4379 0.3848
0.3775 0.7549 0.8089
0.6339 0.2678 0.4362
0.7961 0.5922 0.8605
0.3661 0.7322 0.5638
0.4697 0.9394 0.1901
0.2039 0.4078 0.1395
0.5303 0.0606 0.8099
```

Output
VASP energy (eV/atom): -5.47

=====

[2]
## Sm3Ho4Er2 (PBE-GGA)

Data for Sm3Ho4Er2 after structural relaxation.

Cell and atoms, written as POSCAR:
```
Sm3Ho4Er2
1.0
5.7270 1.6062 1.1500
2.1486 10.9849 0.7623
2.1486 4.2611 10.1535
Sm Ho Er
6 8 4
Direct
0.2482 0.2669 0.0668
0.7518 0.7331 0.9332
0.2518 0.9332 0.7331
0.7500 0.3999 0.6001
0.2500 0.6001 0.3999
0.7482 0.0668 0.2669
0.5781 0.4242 0.1485
0.5790 0.0902 0.8149
0.9219 0.8515 0.5758
0.4210 0.9098 0.1851
0.4219 0.5758 0.8515
0.9210 0.1851 0.9098
0.0781 0.1485 0.4242
0.0790 0.8149 0.0902
0.0793 0.4813 0.7563
0.4207 0.2437 0.5187
0.5793 0.7563 0.4813
0.9207 0.5187 0.2437
```

Output
ΔE_f (meV/atom): 103
VASP energy (eV/atom): -4.52

=====

[3]
## AcMgBi2 (PBE-GGA)

Data for AcMgBi2 after structural relaxation.

Cell and atoms, written as POSCAR:
```
AcMgBi2
1.0
4.5444 0.0000 0.0000
0.0000 5.3016 0.0000
0.0000 0.0000 5.3016
Mg Bi Ac
1 2 1
Direct
0.5000 0.0000 0.0000
0.0000 0.5000 0.0000
0.0000 0.0000 0.5000
0.5000 0.5000 0.5000
```

Output
ΔE_f (meV/atom): -507
VASP energy (eV/atom): -3.87